# CoCuTcGe PBE optimized geometry
# Symmetry: F-43m, No. 216
# Total energy (eV per atom): -6.4642
# Energy of formation (eV per atom): 0.08
data_CoCuTcGe
_chemical_formula_sum 'Co1 Cu1 Tc1 Ge1'
_symmetry_space_group_name_H-M 'P 1'
_symmetry_Int_Tables_number 1
_symmetry_space_group_name_Hall 'P 1'
_cell_length_a 4.172
_cell_length_b 4.172
_cell_length_c 4.172
_cell_angle_alpha 60.00
_cell_angle_beta 60.00
_cell_angle_gamma 60.00
loop_
_atom_site_label
_atom_site_type_symbol
_atom_site_fract_x
_atom_site_fract_y
_atom_site_fract_z
_atom_site_occupancy
Ge1 Ge 0.250 0.250 0.250 1
Co1 Co 0.500 0.500 0.500 1
Tc1 Tc 0.000 0.000 0.000 1
Cu1 Cu 0.750 0.750 0.750 1